Record 1
A geometry-optimized KNbPS2 structure, computed with PBE.

## Properties
As for the space group: P4/mmm, No. 123. The value obtained for the formation energy from raw total energies is -0.598 eV/atom.

a b c (Å): 4.8914 4.8914 4.9188
angles (deg): 90.00 90.00 90.00
Last column: nearest neighbours and their distance in Å.
Fractional positions:
S 0.5000 0.0000 0.0000  2 Nb 2.45
S 0.0000 0.5000 0.0000  2 Nb 2.45
Nb 0.0000 0.0000 0.0000  4 S 2.45, 2 P 2.46
P 0.0000 0.0000 0.5000  2 Nb 2.46
K 0.5000 0.5000 0.5000  4 P 3.46, 8 S 3.47

Record 2
A geometry-optimized HoInSn structure, computed with PBE.

## Properties
As for the space group: Cmcm, No. 63. The energy of formation from the pure elements is -305 meV/atom.

a b c (Å): 5.9252 6.3485 5.1869
angles (deg): 90.00 124.83 90.00
Last column: nearest neighbours and their distance in Å.
Fractional positions:
In 0.3155 0.7500 0.1310  5 Ho 3.07-3.19, 2 Sn 3.12
In 0.6845 0.2500 0.8690  5 Ho 3.07-3.19, 2 Sn 3.12
Ho 0.3235 0.2500 0.1470  5 In 3.07-3.19, 2 Sn 3.18
Ho 0.6765 0.7500 0.8530  5 In 3.07-3.19, 2 Sn 3.18
Sn 0.0000 0.0000 0.5000  2 In 3.12, 2 Sn 3.17, 2 Ho 3.18
Sn 0.0000 0.5000 0.5000  2 In 3.12, 2 Sn 3.17, 2 Ho 3.18

Size of the total moment for the records above, in order: 0.00; 0.00 μB/f.u.